# 1
Here is Pa3TcRh after structural relaxation from Alexandria. Energies are from PBE.

Computed properties:
**Space group**: No. 15
**DFT formation energy**: -0.292 eV per atom

Cell: 5.8688 8.6478 8.6478 Å, 94.80 94.02 94.02°
With the nearest neighbours (Å) after each atom.
Atoms (fractional coordinates):
Pa (0.8524, 0.6731, 0.0567)  2 Tc 2.63-2.77, 2 Rh 2.71-2.92
Pa (0.9853, 0.6825, 0.4700)  2 Pa 2.85-3.13, 1 Rh 2.87, 3 Tc 2.89-3.00
Pa (0.0147, 0.3175, 0.5300)  2 Pa 2.85-3.13, 1 Rh 2.87, 3 Tc 2.89-3.00
Pa (0.5147, 0.5300, 0.3175)  2 Pa 2.85-3.13, 1 Rh 2.87, 3 Tc 2.89-3.00
Pa (0.3899, 0.7207, 0.8989)  2 Rh 2.75-2.98, 2 Pa 2.85-3.02, 1 Tc 2.87
Pa (0.4853, 0.4700, 0.6825)  2 Pa 2.85-3.13, 1 Rh 2.87, 3 Tc 2.89-3.00
Pa (0.8899, 0.8989, 0.7207)  2 Rh 2.75-2.98, 2 Pa 2.85-3.02, 1 Tc 2.87
Pa (0.3524, 0.0567, 0.6730)  2 Tc 2.63-2.77, 2 Rh 2.71-2.92
Pa (0.6476, 0.9433, 0.3270)  2 Tc 2.63-2.77, 2 Rh 2.71-2.92
Pa (0.6101, 0.2793, 0.1011)  2 Rh 2.75-2.98, 2 Pa 2.85-3.02, 1 Tc 2.87
Pa (0.1101, 0.1011, 0.2793)  2 Rh 2.75-2.98, 2 Pa 2.85-3.02, 1 Tc 2.87
Pa (0.1476, 0.3269, 0.9433)  2 Tc 2.63-2.77, 2 Rh 2.71-2.92
Tc (0.0394, 0.4418, 0.2171)  5 Pa 2.63-2.94
Tc (0.9606, 0.5582, 0.7829)  5 Pa 2.63-2.94
Tc (0.5394, 0.2171, 0.4418)  5 Pa 2.63-2.94
Tc (0.4606, 0.7829, 0.5582)  5 Pa 2.63-2.94
Rh (0.2500, 0.7772, 0.2228)  6 Pa 2.71-2.98, 1 Rh 2.94
Rh (0.7500, 0.9919, 0.0081)  4 Pa 2.75-2.92, 3 Rh 2.94
Rh (0.7500, 0.2228, 0.7772)  6 Pa 2.71-2.98, 1 Rh 2.94
Rh (0.2500, 0.0081, 0.9919)  4 Pa 2.75-2.92, 3 Rh 2.94

***

# 2
Here is ThPaTcRh after structural relaxation from Alexandria. Energies are from PBE.

Computed properties:
**Space group**: No. 216
**DFT formation energy**: -0.335 eV per atom

Cell: 4.9521 4.9521 4.9521 Å, 60.00 60.00 60.00°
With the nearest neighbours (Å) after each atom.
Atoms (fractional coordinates):
Rh (0.0000, 0.0000, 0.0000)  4 Pa 3.03, 4 Th 3.03
Pa (0.7500, 0.7500, 0.7500)  4 Rh 3.03, 4 Tc 3.03
Tc (0.5000, 0.5000, 0.5000)  4 Th 3.03, 4 Pa 3.03
Th (0.2500, 0.2500, 0.2500)  4 Tc 3.03, 4 Rh 3.03

***

# 3
Here is PaTiTcRh after structural relaxation from Alexandria. Energies are from PBE.

Computed properties:
**Space group**: No. 216
**DFT formation energy**: -0.441 eV per atom

Cell: 4.6485 4.6485 4.6485 Å, 60.00 60.00 60.00°
With the nearest neighbours (Å) after each atom.
Atoms (fractional coordinates):
Pa (0.0000, 0.0000, 0.0000)  4 Rh 2.85, 4 Tc 2.85
Rh (0.2500, 0.2500, 0.2500)  4 Ti 2.85, 4 Pa 2.85
Tc (0.7500, 0.7500, 0.7500)  4 Pa 2.85, 4 Ti 2.85
Ti (0.5000, 0.5000, 0.5000)  4 Tc 2.85, 4 Rh 2.85

***

# 4
Here is TmPaTcRh after structural relaxation from Alexandria. Energies are from PBE.

Computed properties:
**Space group**: No. 216
**DFT formation energy**: -0.477 eV per atom

Cell: 4.8340 4.8340 4.8340 Å, 60.00 60.00 60.00°
With the nearest neighbours (Å) after each atom.
Atoms (fractional coordinates):
Rh (0.7500, 0.7500, 0.7500)  4 Pa 2.96, 4 Tm 2.96
Pa (0.0000, 0.0000, 0.0000)  4 Tc 2.96, 4 Rh 2.96
Tm (0.5000, 0.5000, 0.5000)  4 Rh 2.96, 4 Tc 2.96
Tc (0.2500, 0.2500, 0.2500)  4 Tm 2.96, 4 Pa 2.96

***

# 5
Here is UPaTcRh after structural relaxation from Alexandria. Energies are from PBE.

Computed properties:
**Space group**: No. 216
**DFT formation energy**: -0.236 eV per atom

Cell: 4.8224 4.8224 4.8224 Å, 60.00 60.00 60.00°
With the nearest neighbours (Å) after each atom.
Atoms (fractional coordinates):
Pa (0.2500, 0.2500, 0.2500)  4 Rh 2.95, 4 Tc 2.95
Tc (0.0000, 0.0000, 0.0000)  4 Pa 2.95, 4 U 2.95
Rh (0.5000, 0.5000, 0.5000)  4 Pa 2.95, 4 U 2.95
U (0.7500, 0.7500, 0.7500)  4 Tc 2.95, 4 Rh 2.95

***

# 6
Here is YPaTcRh after structural relaxation from Alexandria. Energies are from PBE.

Computed properties:
**Space group**: No. 216
**DFT formation energy**: -0.404 eV per atom

Cell: 4.8670 4.8670 4.8670 Å, 60.00 60.00 60.00°
With the nearest neighbours (Å) after each atom.
Atoms (fractional coordinates):
Y (0.7500, 0.7500, 0.7500)  4 Tc 2.98, 4 Rh 2.98
Tc (0.5000, 0.5000, 0.5000)  4 Pa 2.98, 4 Y 2.98
Pa (0.2500, 0.2500, 0.2500)  4 Tc 2.98, 4 Rh 2.98
Rh (0.0000, 0.0000, 0.0000)  4 Pa 2.98, 4 Y 2.98

***

# 7
Here is PaZnTcRh after structural relaxation from Alexandria. Energies are from PBE.

Computed properties:
**Space group**: No. 216
**Excess energy over the best structure of this formula in the dataset**: 0.1349 eV per atom
**DFT formation energy**: -0.391 eV per atom

Cell: 4.6044 4.6044 4.6044 Å, 60.00 60.00 60.00°
With the nearest neighbours (Å) after each atom.
Atoms (fractional coordinates):
Tc (0.2500, 0.2500, 0.2500)  4 Pa 2.82, 4 Zn 2.82
Pa (0.0000, 0.0000, 0.0000)  4 Tc 2.82, 4 Rh 2.82
Zn (0.5000, 0.5000, 0.5000)  4 Rh 2.82, 4 Tc 2.82
Rh (0.7500, 0.7500, 0.7500)  4 Pa 2.82, 4 Zn 2.82

***

# 8
Here is PaZnTcRh after structural relaxation from Alexandria. Energies are from PBE.

Computed properties:
**Space group**: No. 47
**Excess energy over the best structure of this formula in the dataset**: 0.0000 eV per atom
**DFT formation energy**: -0.526 eV per atom

Cell: 3.6317 4.2033 4.4325 Å, 90.00 90.00 90.00°
With the nearest neighbours (Å) after each atom.
Atoms (fractional coordinates):
Tc (0.5000, 0.0000, 0.5000)  4 Pa 2.78, 4 Zn 2.87, 4 Rh 3.05
Rh (0.5000, 0.5000, 0.0000)  4 Zn 2.78, 4 Pa 2.87, 4 Tc 3.05
Zn (0.0000, 0.0000, 0.0000)  4 Rh 2.78, 4 Tc 2.87, 4 Pa 3.05
Pa (0.0000, 0.5000, 0.5000)  4 Tc 2.78, 4 Rh 2.87, 4 Zn 3.05

***

# 9
Here is PaTeRh after structural relaxation from Alexandria. Energies are from PBE.

Computed properties:
**Space group**: No. 216
**Excess energy over the best structure of this formula in the dataset**: 0.1318 eV per atom
**E_form (uncorrected)**: -0.689 eV per atom

Cell: 4.6618 4.6618 4.6618 Å, 60.00 60.00 60.00°
With the nearest neighbours (Å) after each atom.
Atoms (fractional coordinates):
Rh (0.2500, 0.2500, 0.2500)  4 Pa 2.85, 4 Te 2.85
Pa (0.0000, 0.0000, 0.0000)  4 Rh 2.85
Te (0.5000, 0.5000, 0.5000)  4 Rh 2.85

***

# 10
Here is Pa2TeRh after structural relaxation from Alexandria. Energies are from PBE.

Computed properties:
**Space group**: No. 166
**Excess energy over the best structure of this formula in the dataset**: 0.0000 eV per atom
**E_form (uncorrected)**: -0.654 eV per atom

Cell: 4.0197 4.0197 7.7868 Å, 75.04 75.04 60.00°
With the nearest neighbours (Å) after each atom.
Atoms (fractional coordinates):
Rh (0.0000, 0.0000, 0.0000)  6 Pa 2.80
Te (0.5000, 0.5000, 0.5000)  6 Pa 3.16
Pa (0.2628, 0.2628, 0.2117)  3 Rh 2.80
Pa (0.7372, 0.7372, 0.7883)  3 Rh 2.80

***

# 11
Here is PaTe3Rh2 after structural relaxation from Alexandria. Energies are from PBE.

Computed properties:
**Space group**: No. 11
**E_form (uncorrected)**: -0.578 eV per atom

Cell: 3.9149 7.4416 10.6751 Å, 100.05 90.00 90.00°
With the nearest neighbours (Å) after each atom.
Atoms (fractional coordinates):
Pa (0.7500, 0.2291, 0.6836)  5 Rh 2.85-3.04, 2 Te 3.14
Pa (0.2500, 0.7709, 0.3164)  5 Rh 2.85-3.04, 2 Te 3.14
Te (0.2500, 0.0307, 0.8443)  2 Rh 2.71
Te (0.2500, 0.3005, 0.4604)  3 Rh 2.76-3.05
Te (0.7500, 0.9693, 0.1557)  2 Rh 2.71
Te (0.7500, 0.6995, 0.5396)  3 Rh 2.76-3.05
Te (0.7500, 0.6283, 0.8665)  3 Rh 2.63-2.67
Te (0.2500, 0.3717, 0.1335)  3 Rh 2.63-2.67
Rh (0.7500, 0.5997, 0.1125)  4 Te 2.63-2.71
Rh (0.7500, 0.0366, 0.4135)  3 Te 2.71-2.76, 2 Rh 2.81, 3 Pa 2.85-2.99
Rh (0.2500, 0.4003, 0.8875)  4 Te 2.63-2.71
Rh (0.2500, 0.9634, 0.5865)  3 Te 2.71-2.76, 2 Rh 2.81, 3 Pa 2.85-2.99

***

# 12
Here is Pa4Te3Rh after structural relaxation from Alexandria. Energies are from PBE.

Computed properties:
**Space group**: No. 65
**E_form (uncorrected)**: -0.614 eV per atom

Cell: 4.0817 7.5508 7.5508 Å, 107.42 90.00 90.00°
With the nearest neighbours (Å) after each atom.
Atoms (fractional coordinates):
Te (0.0000, 0.5000, 0.0000)  6 Pa 3.03-3.06
Te (0.0000, 0.0000, 0.5000)  6 Pa 3.03-3.06
Te (0.5000, 0.5000, 0.5000)  6 Pa 3.23-3.27
Pa (0.5000, 0.7653, 0.2347)  1 Rh 2.86, 4 Te 3.03
Pa (0.5000, 0.2347, 0.7653)  1 Rh 2.86, 4 Te 3.03
Pa (0.0000, 0.7861, 0.7861)  2 Rh 2.80, 2 Te 3.06
Pa (0.0000, 0.2139, 0.2139)  2 Rh 2.80, 2 Te 3.06
Rh (0.5000, 0.0000, 0.0000)  6 Pa 2.80-2.86